Record 1
This record from Alexandria describes a geometry-optimized YZnN2F structure. The functional is PBE-GGA.

E above lowest polymorph = 0.5623 eV per atom
crystal system = tetragonal
E_tot = -26.51 eV per cell
calculated volume = 88.2 Å³/f.u.
formation energy (no corrections) = -0.25 eV per formula unit

Lattice parameters (Å, degrees): 4.5498 4.5498 4.2613 90.00 90.00 90.00
With the nearest neighbours (Å) after each atom.
Fractional coordinates of all 5 atoms:
Y  0.0000  0.0000  0.0000  2 F 2.13, 4 N 2.27
Zn  0.5000  0.5000  0.5000  8 N 3.12, 4 F 3.22
N  0.0000  0.5000  0.0000  2 Y 2.27
N  0.5000  0.0000  0.0000  2 Y 2.27
F  0.0000  0.0000  0.5000  2 Y 2.13


Record 2
This record from Alexandria describes a geometry-optimized YZnNF2 structure. The functional is PBE-GGA.

E above lowest polymorph = 0.0000 eV per atom
crystal system = tetragonal
E_tot = -27.96 eV per cell
calculated volume = 64.6 Å³/f.u.
formation energy (no corrections) = -8.15 eV per formula unit

Lattice parameters (Å, degrees): 3.8723 3.8723 4.3076 90.00 90.00 90.00
With the nearest neighbours (Å) after each atom.
Fractional coordinates of all 5 atoms:
Y  0.0000  0.0000  0.0000  4 N 2.74, 8 F 2.90
Zn  0.5000  0.5000  0.5000  4 F 1.94, 2 N 2.15
N  0.5000  0.5000  0.0000  2 Zn 2.15
F  0.0000  0.5000  0.5000  2 Zn 1.94
F  0.5000  0.0000  0.5000  2 Zn 1.94


Record 3
This record from Alexandria describes a geometry-optimized YZrNF2 structure. The functional is PBE-GGA.

E above lowest polymorph = 0.0000 eV per atom
crystal system = tetragonal
E_tot = -35.96 eV per cell
calculated volume = 79.3 Å³/f.u.
formation energy (no corrections) = -8.88 eV per formula unit

Lattice parameters (Å, degrees): 4.2762 4.2762 4.3355 90.00 90.00 90.00
With the nearest neighbours (Å) after each atom.
Fractional coordinates of all 5 atoms:
Y  0.0000  0.0000  0.0000  4 N 3.02, 8 F 3.04
Zr  0.5000  0.5000  0.5000  4 F 2.14, 2 N 2.17
N  0.5000  0.5000  0.0000  2 Zr 2.17
F  0.0000  0.5000  0.5000  2 Zr 2.14
F  0.5000  0.0000  0.5000  2 Zr 2.14


Record 4
This record from Alexandria describes a geometry-optimized YZrNF2 structure. The functional is PBE-GGA.

E above lowest polymorph = 0.2255 eV per atom
crystal system = tetragonal
E_tot = -34.83 eV per cell
calculated volume = 85.2 Å³/f.u.
formation energy (no corrections) = -7.75 eV per formula unit

Lattice parameters (Å, degrees): 4.2063 4.2063 4.8164 90.00 90.00 90.00
With the nearest neighbours (Å) after each atom.
Fractional coordinates of all 5 atoms:
Y  0.0000  0.0000  0.0000  4 F 2.10
Zr  0.5000  0.5000  0.5000  4 N 2.97, 8 F 3.20
N  0.0000  0.0000  0.5000  2 Y 2.41
F  0.0000  0.5000  0.0000  2 Y 2.10
F  0.5000  0.0000  0.0000  2 Y 2.10


Record 5
This record from Alexandria describes a geometry-optimized YZrN2F structure. The functional is PBE-GGA.

E above lowest polymorph = 0.0000 eV per atom
crystal system = tetragonal
E_tot = -41.10 eV per cell
calculated volume = 74.5 Å³/f.u.
formation energy (no corrections) = -7.57 eV per formula unit

Lattice parameters (Å, degrees): 4.3052 4.3052 4.0170 90.00 90.00 90.00
With the nearest neighbours (Å) after each atom.
Fractional coordinates of all 5 atoms:
Y  0.0000  0.0000  0.0000  8 N 2.94, 4 F 3.04
Zr  0.5000  0.5000  0.5000  2 F 2.01, 4 N 2.15
N  0.0000  0.5000  0.5000  2 Zr 2.15
N  0.5000  0.0000  0.5000  2 Zr 2.15
F  0.5000  0.5000  0.0000  2 Zr 2.01


Record 6
This record from Alexandria describes a geometry-optimized YZrN2F structure. The functional is PBE-GGA.

E above lowest polymorph = 0.9190 eV per atom
crystal system = tetragonal
E_tot = -36.51 eV per cell
calculated volume = 79.8 Å³/f.u.
formation energy (no corrections) = -2.97 eV per formula unit

Lattice parameters (Å, degrees): 4.4474 4.4474 4.0362 90.00 90.00 90.00
With the nearest neighbours (Å) after each atom.
Fractional coordinates of all 5 atoms:
Y  0.0000  0.0000  0.0000  2 F 2.02, 4 N 2.22
Zr  0.5000  0.5000  0.5000  8 N 3.00, 4 F 3.14
N  0.0000  0.5000  0.0000  2 Y 2.22
N  0.5000  0.0000  0.0000  2 Y 2.22
F  0.0000  0.0000  0.5000  2 Y 2.02


Record 7
This record from Alexandria describes a geometry-optimized ZnN3F12 structure. The functional is PBE-GGA.

crystal system = trigonal
E_tot = -119.14 eV per cell
calculated volume = 289.7 Å³/f.u.
formation energy (no corrections) = -10.87 eV per formula unit

Lattice parameters (Å, degrees): 11.7912 11.7912 11.7912 38.83 38.83 38.83
With the nearest neighbours (Å) after each atom.
Fractional coordinates of all 32 atoms:
Zn  0.0000  0.0000  0.0000  3 F 1.81
Zn  0.5000  0.5000  0.5000  3 F 1.81
N  0.1474  0.4325  0.6475  3 F 1.40-1.41
N  0.1475  0.9325  0.6474  3 F 1.40-1.41
N  0.4325  0.6475  0.1474  3 F 1.40-1.41
N  0.6475  0.1474  0.4325  3 F 1.40-1.41
N  0.6474  0.1475  0.9325  3 F 1.40-1.41
N  0.9325  0.6474  0.1475  3 F 1.40-1.41
F  0.0048  0.6258  0.6382  1 N 1.40
F  0.0751  0.3088  0.8570  1 N 1.41
F  0.0853  0.9183  0.5963  1 N 1.40
F  0.0963  0.4183  0.5853  1 N 1.40
F  0.1258  0.5048  0.1382  1 N 1.40
F  0.1382  0.1258  0.5048  1 N 1.40
F  0.2480  0.9568  0.7917  1 Zn 1.81
F  0.2917  0.4568  0.7480  1 Zn 1.81
F  0.3088  0.8570  0.0751  1 N 1.41
F  0.3570  0.8088  0.5751  1 N 1.41
F  0.4183  0.5853  0.0963  1 N 1.40
F  0.4568  0.7480  0.2917  1 Zn 1.81
F  0.5048  0.1382  0.1258  1 N 1.40
F  0.5751  0.3570  0.8088  1 N 1.41
F  0.5853  0.0963  0.4183  1 N 1.40
F  0.5963  0.0853  0.9183  1 N 1.40
F  0.6258  0.6382  0.0048  1 N 1.40
F  0.6382  0.0048  0.6258  1 N 1.40
F  0.7480  0.2917  0.4568  1 Zn 1.81
F  0.7917  0.2480  0.9568  1 Zn 1.81
F  0.8088  0.5751  0.3570  1 N 1.41
F  0.8570  0.0751  0.3088  1 N 1.41
F  0.9183  0.5963  0.0853  1 N 1.40
F  0.9568  0.7917  0.2480  1 Zn 1.81


Record 8
This record from Alexandria describes a geometry-optimized ZnNF2 structure. The functional is PBE-GGA.

E above lowest polymorph = 1.2583 eV per atom
crystal system = trigonal
E_tot = -14.81 eV per cell
calculated volume = 71.1 Å³/f.u.
formation energy (no corrections) = -1.47 eV per formula unit

Lattice parameters (Å, degrees): 8.1848 8.1848 8.1848 22.62 22.62 22.62
With the nearest neighbours (Å) after each atom.
Fractional coordinates of all 4 atoms:
Zn  0.0000  0.0000  0.0000  6 F 2.09
N  0.5000  0.5000  0.5000  2 F 3.02, 6 N 3.21
F  0.3736  0.3736  0.3736  3 Zn 2.09
F  0.6264  0.6264  0.6264  3 Zn 2.09